1.
Density functional theory data (PBE) for a relaxed CsPr2Cu3TeSe4 crystal.

Summary:
Final energy = -100.17 eV for the cell shown
Space group = Cmcm

a = 7.7245 Å, b = 7.7245 Å, c = 18.4387 Å
α = 90.00°, β = 90.00°, γ = 147.78°
Last column: nearest neighbours and their distance in Å.
Positions (direct):
Cs: 0.0522 0.9478 0.7500  6 Se 3.69-3.76, 2 Te 3.74, 2 Cu 3.76
Cs: 0.9478 0.0522 0.2500  6 Se 3.69-3.76, 2 Te 3.74, 2 Cu 3.76
Pr: 0.1890 0.8110 0.0850  5 Se 2.90-3.08, 1 Te 3.14
Pr: 0.1890 0.8110 0.4150  5 Se 2.90-3.08, 1 Te 3.14
Pr: 0.8110 0.1890 0.5850  5 Se 2.90-3.08, 1 Te 3.14
Pr: 0.8110 0.1890 0.9150  5 Se 2.90-3.08, 1 Te 3.14
Cu: 0.3441 0.6559 0.7500  2 Te 2.49
Cu: 0.4148 0.5852 0.0297  4 Se 2.52-2.55, 1 Cu 2.76
Cu: 0.4148 0.5852 0.4703  4 Se 2.52-2.55, 1 Cu 2.76
Cu: 0.5852 0.4148 0.5297  4 Se 2.52-2.55, 1 Cu 2.76
Cu: 0.5852 0.4148 0.9703  4 Se 2.52-2.55, 1 Cu 2.76
Cu: 0.6559 0.3441 0.2500  2 Te 2.49
Te: 0.2412 0.7588 0.2500  2 Cu 2.49
Te: 0.7588 0.2412 0.7500  2 Cu 2.49
Se: 0.1631 0.8369 0.5711  2 Cu 2.55
Se: 0.1631 0.8369 0.9289  2 Cu 2.55
Se: 0.4446 0.5554 0.6062  2 Cu 2.52-2.55
Se: 0.4446 0.5554 0.8938  2 Cu 2.52-2.55
Se: 0.5554 0.4446 0.1062  2 Cu 2.52-2.55
Se: 0.5554 0.4446 0.3938  2 Cu 2.52-2.55
Se: 0.8369 0.1631 0.0711  2 Cu 2.55
Se: 0.8369 0.1631 0.4289  2 Cu 2.55



2.
Density functional theory data (PBE) for a relaxed CsPr2Cu3Te4Se crystal.

Summary:
Final energy = -95.13 eV for the cell shown
Space group = Cmcm

a = 8.1491 Å, b = 8.1491 Å, c = 18.6476 Å
α = 90.00°, β = 90.00°, γ = 148.62°
Last column: nearest neighbours and their distance in Å.
Positions (direct):
Cs: 0.0676 0.9324 0.7500  6 Te 3.64-3.80, 2 Se 3.79
Cs: 0.9324 0.0676 0.2500  6 Te 3.64-3.80, 2 Se 3.79
Pr: 0.1948 0.8052 0.0961  1 Se 2.94, 5 Te 3.15-3.23
Pr: 0.1948 0.8052 0.4039  1 Se 2.94, 5 Te 3.15-3.23
Pr: 0.8052 0.1948 0.5961  1 Se 2.94, 5 Te 3.15-3.23
Pr: 0.8052 0.1948 0.9039  1 Se 2.94, 5 Te 3.15-3.23
Cu: 0.3354 0.6646 0.7500  2 Se 2.47
Cu: 0.4155 0.5845 0.0200  4 Te 2.64-2.84, 1 Cu 2.75
Cu: 0.4155 0.5845 0.4800  4 Te 2.64-2.84, 1 Cu 2.75
Cu: 0.5845 0.4155 0.5200  4 Te 2.64-2.84, 1 Cu 2.75
Cu: 0.5845 0.4155 0.9800  4 Te 2.64-2.84, 1 Cu 2.75
Cu: 0.6646 0.3354 0.2500  2 Se 2.47
Te: 0.1577 0.8423 0.5702  2 Cu 2.66
Te: 0.1577 0.8423 0.9298  2 Cu 2.66
Te: 0.4469 0.5531 0.6190  2 Cu 2.64-2.84
Te: 0.4469 0.5531 0.8810  2 Cu 2.64-2.84
Te: 0.5531 0.4469 0.1190  2 Cu 2.64-2.84
Te: 0.5531 0.4469 0.3810  2 Cu 2.64-2.84
Te: 0.8423 0.1577 0.0702  2 Cu 2.66
Te: 0.8423 0.1577 0.4298  2 Cu 2.66
Se: 0.2360 0.7640 0.2500  2 Cu 2.47
Se: 0.7640 0.2360 0.7500  2 Cu 2.47



3.
Density functional theory data (PBE) for a relaxed CsPr2CuTe3Se crystal.

Summary:
Final energy = -73.81 eV for the cell shown
Space group = Cmcm

a = 8.1342 Å, b = 8.1342 Å, c = 15.8222 Å
α = 90.00°, β = 90.00°, γ = 148.32°
Last column: nearest neighbours and their distance in Å.
Positions (direct):
Cs: 0.1112 0.8888 0.7500  6 Te 3.62-3.71
Cs: 0.8888 0.1112 0.2500  6 Te 3.62-3.71
Pr: 0.3739 0.6261 0.5587  2 Se 3.11, 4 Te 3.14-3.22
Pr: 0.3739 0.6261 0.9413  2 Se 3.11, 4 Te 3.14-3.22
Pr: 0.6261 0.3739 0.0587  2 Se 3.11, 4 Te 3.14-3.22
Pr: 0.6261 0.3739 0.4413  2 Se 3.11, 4 Te 3.14-3.22
Cu: 0.1641 0.8359 0.2500  4 Te 2.65-2.66
Cu: 0.8359 0.1641 0.7500  4 Te 2.65-2.66
Te: 0.2603 0.7397 0.1112  1 Cu 2.66
Te: 0.2603 0.7397 0.3888  1 Cu 2.66
Te: 0.4282 0.5718 0.7500  2 Cu 2.65
Te: 0.5718 0.4282 0.2500  2 Cu 2.65
Te: 0.7397 0.2603 0.6112  1 Cu 2.66
Te: 0.7397 0.2603 0.8888  1 Cu 2.66
Se: 0.0000 0.0000 0.0000  4 Pr 3.11
Se: 0.0000 0.0000 0.5000  4 Pr 3.11



4.
Density functional theory data (PBE) for a relaxed CsPr2CuTeSe3 crystal.

Summary:
Final energy = -78.13 eV for the cell shown
Space group = Cmcm

a = 7.9291 Å, b = 7.9291 Å, c = 15.1335 Å
α = 90.00°, β = 90.00°, γ = 148.09°
Last column: nearest neighbours and their distance in Å.
Positions (direct):
Cs: 0.1219 0.8781 0.7500  4 Se 3.58, 2 Te 3.63, 2 Cu 3.92
Cs: 0.8781 0.1219 0.2500  4 Se 3.58, 2 Te 3.63, 2 Cu 3.92
Pr: 0.3662 0.6338 0.5542  5 Se 2.98-3.10, 1 Te 3.13
Pr: 0.3662 0.6338 0.9458  5 Se 2.98-3.10, 1 Te 3.13
Pr: 0.6338 0.3662 0.0542  5 Se 2.98-3.10, 1 Te 3.13
Pr: 0.6338 0.3662 0.4458  5 Se 2.98-3.10, 1 Te 3.13
Cu: 0.1647 0.8353 0.2500  2 Se 2.53, 2 Te 2.63
Cu: 0.8353 0.1647 0.7500  2 Se 2.53, 2 Te 2.63
Te: 0.4318 0.5682 0.7500  2 Cu 2.63
Te: 0.5682 0.4318 0.2500  2 Cu 2.63
Se: 0.0000 0.0000 0.0000  4 Pr 3.10
Se: 0.0000 0.0000 0.5000  4 Pr 3.10
Se: 0.2548 0.7452 0.1097  1 Cu 2.53
Se: 0.2548 0.7452 0.3903  1 Cu 2.53
Se: 0.7452 0.2548 0.6097  1 Cu 2.53
Se: 0.7452 0.2548 0.8903  1 Cu 2.53



The following size of the total moment values (in μB per cell) correspond, in order, to the records above: 0.00, 0.00, 0.00, 0.00.